# 1
The following is a DFT calculation (GGA-PBE) of Ac2Mg4InHg3 after structural relaxation. Values from VASP.

```
&SYSTEM
  ibrav = 0, nat = 10, ntyp = 4
/
ATOMIC_SPECIES
Ac 227.00 Ac.upf
Mg 24.30 Mg.upf
In 114.82 In.upf
Hg 200.59 Hg.upf
ATOMIC_POSITIONS angstrom
Ac 0.000 2.429 2.810
Ac 2.429 0.000 8.639
Mg 0.000 0.000 5.725
Mg 0.000 2.429 9.922
Mg 2.429 0.000 1.527
Mg 2.429 2.429 5.725
In 2.429 2.429 0.000
Hg 0.000 0.000 0.000
Hg 0.000 2.429 7.220
Hg 2.429 0.000 4.229
CELL_PARAMETERS angstrom
4.858 0.000 0.000
0.000 4.858 0.000
0.000 0.000 11.449
```

Output
* energy relative to the elements: -332.6 meV/atom
* total magnetization: 0.0 μB/f.u.
* space group: P-4m2, No. 115
* V: 27.02 A^3/atom

---

# 2
The following is a DFT calculation (GGA-PBE) of Ac2Mg3InHg4 after structural relaxation. Values from VASP.

```
&SYSTEM
  ibrav = 0, nat = 10, ntyp = 4
/
ATOMIC_SPECIES
Ac 227.00 Ac.upf
Mg 24.30 Mg.upf
In 114.82 In.upf
Hg 200.59 Hg.upf
ATOMIC_POSITIONS angstrom
Ac 0.000 2.436 2.770
Ac 2.436 0.000 8.578
Mg 0.000 2.436 9.976
Mg 2.436 0.000 1.372
Mg 2.436 2.436 5.674
In 0.000 0.000 5.674
Hg 0.000 0.000 0.000
Hg 0.000 2.436 7.282
Hg 2.436 0.000 4.065
Hg 2.436 2.436 0.000
CELL_PARAMETERS angstrom
4.873 0.000 0.000
0.000 4.873 0.000
0.000 0.000 11.348
```

Output
* energy relative to the elements: -355.6 meV/atom
* total magnetization: 0.0 μB/f.u.
* space group: P-4m2, No. 115
* V: 26.94 A^3/atom

---

# 3
The following is a DFT calculation (GGA-PBE) of Ac3MgIn2Hg6 after structural relaxation. Values from VASP.

```
&SYSTEM
  ibrav = 0, nat = 12, ntyp = 4
/
ATOMIC_SPECIES
Ac 227.00 Ac.upf
Mg 24.30 Mg.upf
In 114.82 In.upf
Hg 200.59 Hg.upf
ATOMIC_POSITIONS angstrom
Ac 0.000 0.000 0.000
Ac 0.000 3.824 5.817
Ac 3.311 1.912 3.526
Mg 0.000 0.000 4.672
In 0.000 3.824 0.014
In 3.311 1.912 9.329
Hg 0.000 2.025 2.640
Hg -1.558 4.723 2.640
Hg 1.754 1.012 6.703
Hg 1.558 4.723 2.640
Hg 4.869 1.012 6.703
Hg 3.311 3.710 6.703
CELL_PARAMETERS angstrom
6.623 0.000 0.000
-3.311 5.735 0.000
0.000 0.000 9.343
```

Output
* energy relative to the elements: -304.6 meV/atom
* total magnetization: 0.0 μB/f.u.
* space group: P-3m1, No. 164
* V: 29.57 A^3/atom

---

# 4
The following is a DFT calculation (GGA-PBE) of Ac2MgIn3Hg4 after structural relaxation. Values from VASP.

```
&SYSTEM
  ibrav = 0, nat = 10, ntyp = 4
/
ATOMIC_SPECIES
Ac 227.00 Ac.upf
Mg 24.30 Mg.upf
In 114.82 In.upf
Hg 200.59 Hg.upf
ATOMIC_POSITIONS angstrom
Ac 0.000 2.406 2.857
Ac 2.406 0.000 9.089
Mg 0.000 0.000 5.973
In 0.000 2.406 10.325
In 2.406 0.000 1.620
In 2.406 2.406 5.973
Hg 0.000 0.000 0.000
Hg 0.000 2.406 7.558
Hg 2.406 0.000 4.387
Hg 2.406 2.406 0.000
CELL_PARAMETERS angstrom
4.813 0.000 0.000
0.000 4.813 0.000
0.000 0.000 11.945
```

Output
* energy relative to the elements: -356.4 meV/atom
* total magnetization: 0.0 μB/f.u.
* space group: P-4m2, No. 115
* V: 27.67 A^3/atom

---

# 5
The following is a DFT calculation (GGA-PBE) of AcMgIn2Hg2 after structural relaxation. Values from VASP.

```
&SYSTEM
  ibrav = 0, nat = 6, ntyp = 4
/
ATOMIC_SPECIES
Ac 227.00 Ac.upf
Mg 24.30 Mg.upf
In 114.82 In.upf
Hg 200.59 Hg.upf
ATOMIC_POSITIONS angstrom
Ac 0.000 0.000 0.000
Mg 0.000 0.000 3.772
In 0.000 2.874 2.272
In 2.489 1.437 5.272
Hg 0.000 2.874 5.634
Hg 2.489 1.437 1.911
CELL_PARAMETERS angstrom
4.977 0.000 0.000
-2.489 4.310 0.000
0.000 0.000 7.545
```

Output
* energy relative to the elements: -312.3 meV/atom
* total magnetization: 0.0 μB/f.u.
* space group: P-3m1, No. 164
* V: 26.97 A^3/atom

---

# 6
The following is a DFT calculation (GGA-PBE) of Ac12In4HgN3 after structural relaxation. Values from VASP.

```
&SYSTEM
  ibrav = 0, nat = 20, ntyp = 4
/
ATOMIC_SPECIES
Ac 227.00 Ac.upf
In 114.82 In.upf
Hg 200.59 Hg.upf
N 14.01 N.upf
ATOMIC_POSITIONS angstrom
Ac 3.061 0.000 0.000
Ac 8.012 0.000 0.000
Ac 5.537 2.768 0.000
Ac 5.537 0.000 2.768
Ac 0.000 3.061 0.000
Ac 0.000 0.000 3.061
Ac 2.768 5.537 0.000
Ac 2.768 0.000 5.537
Ac 0.000 8.012 0.000
Ac 0.000 0.000 8.012
Ac 0.000 5.537 2.768
Ac 0.000 2.768 5.537
In 2.768 2.768 -2.768
In 2.768 -2.768 2.768
In -2.768 2.768 2.768
In 2.768 2.768 2.768
Hg 0.000 0.000 0.000
N 5.537 0.000 0.000
N 0.000 5.537 0.000
N 0.000 0.000 5.537
CELL_PARAMETERS angstrom
-5.537 5.537 5.537
5.537 -5.537 5.537
5.537 5.537 -5.537
```

Output
* total magnetization: 0.0 μB/f.u.
* ΔE_f (raw): -459 meV/atom
* space group: Im-3m, No. 229
* V: 33.94 A^3/atom

---

# 7
The following is a DFT calculation (GGA-PBE) of AcNdInHg after structural relaxation. Values from VASP.

```
&SYSTEM
  ibrav = 0, nat = 4, ntyp = 4
/
ATOMIC_SPECIES
Ac 227.00 Ac.upf
Nd 144.24 Nd.upf
In 114.82 In.upf
Hg 200.59 Hg.upf
ATOMIC_POSITIONS angstrom
Ac 0.000 0.000 0.000
Nd 0.000 0.000 4.092
In 1.969 1.969 2.195
Hg 1.969 1.969 5.852
CELL_PARAMETERS angstrom
3.938 0.000 0.000
0.000 3.938 0.000
0.000 0.000 8.055
```

Output
* energy relative to the elements: -456.2 meV/atom
* total magnetization: 0.0 μB/f.u.
* space group: P4mm, No. 99
* relative energy among the computed polymorphs: 0 meV/atom
* V: 31.23 A^3/atom

---

# 8
The following is a DFT calculation (GGA-PBE) of AcNd2In2Hg2 after structural relaxation. Values from VASP.

```
&SYSTEM
  ibrav = 0, nat = 7, ntyp = 4
/
ATOMIC_SPECIES
Ac 227.00 Ac.upf
Nd 144.24 Nd.upf
In 114.82 In.upf
Hg 200.59 Hg.upf
ATOMIC_POSITIONS angstrom
Ac 0.000 0.000 0.000
Nd 0.000 0.000 3.841
Nd 0.000 0.000 25.010
In 0.000 0.000 7.570
In 0.000 0.000 21.281
Hg 0.000 0.000 12.295
Hg 0.000 0.000 16.556
CELL_PARAMETERS angstrom
2.517 1.453 9.617
-2.517 1.453 9.617
0.000 -2.906 9.617
```

Output
* energy relative to the elements: -340.2 meV/atom
* total magnetization: 0.0 μB/f.u.
* space group: R-3m, No. 166
* V: 30.15 A^3/atom

---

# 9
The following is a DFT calculation (GGA-PBE) of AcNdInHg after structural relaxation. Values from VASP.

```
&SYSTEM
  ibrav = 0, nat = 4, ntyp = 4
/
ATOMIC_SPECIES
Ac 227.00 Ac.upf
Nd 144.24 Nd.upf
In 114.82 In.upf
Hg 200.59 Hg.upf
ATOMIC_POSITIONS angstrom
Ac 0.000 0.000 0.000
Nd 3.984 3.984 3.984
In 5.976 5.976 5.976
Hg 1.992 1.992 1.992
CELL_PARAMETERS angstrom
0.000 3.984 3.984
3.984 0.000 3.984
3.984 3.984 0.000
```

Output
* energy relative to the elements: -433.2 meV/atom
* total magnetization: 0.7 μB/f.u.
* space group: F-43m, No. 216
* relative energy among the computed polymorphs: 23 meV/atom
* V: 31.62 A^3/atom

---

# 10
The following is a DFT calculation (GGA-PBE) of Ac2InNiHg after structural relaxation. Values from VASP.

```
&SYSTEM
  ibrav = 0, nat = 10, ntyp = 4
/
ATOMIC_SPECIES
Ac 227.00 Ac.upf
In 114.82 In.upf
Ni 58.69 Ni.upf
Hg 200.59 Hg.upf
ATOMIC_POSITIONS angstrom
Ac -0.415 1.161 1.620
Ac 0.799 3.483 4.624
Ac 4.115 1.161 3.011
Ac 5.328 3.483 6.015
In -0.263 1.161 7.112
In 5.177 3.483 0.523
Ni -1.267 1.161 4.485
Ni 6.181 3.483 3.150
Hg 2.129 3.483 1.393
Hg 2.785 1.161 6.242
CELL_PARAMETERS angstrom
8.080 0.000 0.000
0.000 4.644 0.000
-3.166 0.000 7.635
```

Output
* energy relative to the elements: -414.7 meV/atom
* total magnetization: 0.0 μB/f.u.
* space group: P2_1/m, No. 11
* V: 28.65 A^3/atom

---

# 11
The following is a DFT calculation (GGA-PBE) of Ac3In3NiHg2 after structural relaxation. Values from VASP.

```
&SYSTEM
  ibrav = 0, nat = 9, ntyp = 4
/
ATOMIC_SPECIES
Ac 227.00 Ac.upf
In 114.82 In.upf
Ni 58.69 Ni.upf
Hg 200.59 Hg.upf
ATOMIC_POSITIONS angstrom
Ac -2.450 4.244 0.000
Ac 1.589 2.753 0.000
Ac 4.901 0.000 0.000
In -0.900 1.558 2.283
In 1.799 0.000 2.283
In 3.140 5.438 2.283
Ni 0.000 0.000 0.000
Hg 0.000 4.664 2.283
Hg 4.040 2.332 2.283
CELL_PARAMETERS angstrom
8.079 0.000 0.000
-4.040 6.997 0.000
0.000 0.000 4.565
```

Output
* energy relative to the elements: -440.2 meV/atom
* total magnetization: 0.0 μB/f.u.
* space group: P-62m, No. 189
* V: 28.67 A^3/atom

---

Number 1: raw total energy -2.16 eV/atom. Number 2: raw total energy -2.05 eV/atom. Number 3: raw total energy -2.07 eV/atom. Number 4: raw total energy -2.28 eV/atom. Number 5: raw total energy -2.28 eV/atom. Number 6: raw total energy -4.74 eV/atom. Number 7: raw total energy -3.44 eV/atom. Number 8: raw total energy -3.16 eV/atom. Number 9: raw total energy -3.41 eV/atom. Number 10: raw total energy -3.82 eV/atom. Number 11: raw total energy -3.43 eV/atom.